(1)
{
  "formula": "AgBrF4",
  "functional": "PBE-GGA",
  "state": "optimized geometry",
  "cell": [[-2.836, 2.836, 5.217], [2.836, -2.836, 5.217], [2.836, 2.836, -5.217]],
  "species": ["Ag", "Ag", "Br", "Br", "F", "F", "F", "F", "F", "F", "F", "F"],
  "fractional_positions": [[0.000, 0.500, 0.500], [0.500, 0.000, 0.500], [0.250, 0.250, 0.000], [0.750, 0.750, 0.000], [0.046, 0.546, 0.873], [0.173, 0.046, 0.500], [0.327, 0.827, 0.873], [0.454, 0.327, 0.500], [0.546, 0.673, 0.500], [0.673, 0.173, 0.127], [0.827, 0.954, 0.500], [0.954, 0.454, 0.127]],
  "final_energy_ev_per_atom": -2.564
}

***

(2)
{
  "formula": "HfPaNO",
  "functional": "PBE-GGA",
  "state": "optimized geometry",
  "cell": [[4.394, 0.000, 0.000], [0.000, 5.394, 0.000], [0.000, 0.000, 5.145]],
  "species": ["Hf", "Hf", "Pa", "Pa", "N", "N", "O", "O"],
  "fractional_positions": [[0.000, 0.239, 0.000], [0.000, 0.761, 0.500], [0.500, 0.239, 0.482], [0.500, 0.761, 0.982], [0.500, 0.273, 0.988], [0.500, 0.727, 0.488], [0.000, 0.386, 0.386], [0.000, 0.614, 0.886]],
  "m_tot_mub_per_atom": 0.26,
  "final_energy_ev_per_atom": -9.592
}

***

(3)
{
  "formula": "BaAgSn2Hg",
  "functional": "PBE-GGA",
  "state": "optimized geometry",
  "cell": [[-2.463, 2.463, 5.952], [2.463, -2.463, 5.952], [2.463, 2.463, -5.952]],
  "species": ["Ba", "Ag", "Sn", "Sn", "Hg"],
  "fractional_positions": [[0.000, 0.000, 0.000], [0.250, 0.750, 0.500], [0.379, 0.379, 0.000], [0.621, 0.621, 0.000], [0.750, 0.250, 0.500]],
  "final_energy_ev_per_atom": -3.003
}

***

(4)
{
  "formula": "HfZrB2",
  "functional": "PBE-GGA",
  "state": "optimized geometry",
  "cell": [[0.000, 3.036, 3.036], [3.036, 0.000, 3.036], [3.036, 3.036, 0.000]],
  "species": ["Hf", "Zr", "B", "B"],
  "fractional_positions": [[0.000, 0.000, 0.000], [0.750, 0.750, 0.750], [0.250, 0.250, 0.250], [0.500, 0.500, 0.500]],
  "m_tot_mub_per_atom": 0.00,
  "final_energy_ev_per_atom": -6.679
}

***

(5)
{
  "formula": "Tb3Gd3Ga",
  "functional": "PBE-GGA",
  "state": "optimized geometry",
  "cell": [[1.836, -6.438, 0.000], [1.836, 6.438, 0.000], [0.000, 0.000, 17.866]],
  "species": ["Tb", "Tb", "Tb", "Tb", "Tb", "Tb", "Gd", "Gd", "Gd", "Gd", "Gd", "Gd", "Ga", "Ga"],
  "fractional_positions": [[0.165, 0.835, 0.575], [0.165, 0.835, 0.925], [0.274, 0.726, 0.750], [0.726, 0.274, 0.250], [0.835, 0.165, 0.075], [0.835, 0.165, 0.425], [0.098, 0.902, 0.117], [0.098, 0.902, 0.383], [0.448, 0.552, 0.250], [0.552, 0.448, 0.750], [0.902, 0.098, 0.617], [0.902, 0.098, 0.883], [0.500, 0.500, 0.000], [0.500, 0.500, 0.500]],
  "m_tot_mub_per_atom": 0.00,
  "final_energy_ev_per_atom": -4.539
}

***

(6)
{
  "formula": "YCoBiW",
  "functional": "PBE-GGA",
  "state": "optimized geometry",
  "cell": [[0.000, 3.427, 3.427], [3.427, 0.000, 3.427], [3.427, 3.427, 0.000]],
  "species": ["Y", "Co", "Bi", "W"],
  "fractional_positions": [[0.000, 0.000, 0.000], [0.500, 0.500, 0.500], [0.250, 0.250, 0.250], [0.750, 0.750, 0.750]],
  "m_tot_mub_per_atom": 0.87,
  "final_energy_ev_per_atom": -6.816
}